NaPr2F6 | GGA-PBE | relaxed

Unit cell a=6.163 b=6.273 c=8.170 alpha=90.00 beta=103.21 gamma=90.00
Each line ends with the local moment (μB).
Element x y z (fractional)
Na (0.500, 0.500, 0.000)  0.00
Na (0.000, 0.000, 0.500)  0.00
Pr (0.966, 0.442, 0.750)  0.19
Pr (0.534, 0.942, 0.750)  0.19
Pr (0.466, 0.058, 0.250)  0.19
Pr (0.034, 0.558, 0.250)  0.19
F (0.791, 0.845, 0.278)  0.01
F (0.793, 0.753, 0.633)  0.01
F (0.804, 0.673, 0.951)  0.01
F (0.696, 0.173, 0.549)  0.01
F (0.707, 0.253, 0.867)  0.01
F (0.709, 0.345, 0.222)  0.01
F (0.209, 0.155, 0.722)  0.01
F (0.207, 0.247, 0.367)  0.01
F (0.196, 0.327, 0.049)  0.01
F (0.304, 0.827, 0.451)  0.01
F (0.293, 0.747, 0.133)  0.01
F (0.291, 0.655, 0.778)  0.01

space group = No. 14
DOS(E_F) = 0.105 states/eV per atom
raw formation energy = -3464 meV/atom

NpPaAs2 | GGA-PBE | relaxed

Unit cell a=3.946 b=3.946 c=7.628 alpha=75.01 beta=75.01 gamma=60.00
Each line ends with the local moment (μB).
Element x y z (fractional)
Np (0.670, 0.670, 0.991)  3.79
Pa (0.498, 0.498, 0.507)  0.08
As (0.082, 0.082, 0.753)  -0.05
As (0.251, 0.251, 0.248)  -0.06

space group = No. 160
energy of formation = -0.71 eV/atom
DOS(E_F) = 2.621 states/eV per atom

SrYTc | GGA-PBE | relaxed

Unit cell a=4.969 b=4.969 c=4.969 alpha=60.00 beta=60.00 gamma=60.00
Element x y z (fractional)
Sr (0.500, 0.500, 0.500)
Tc (0.750, 0.750, 0.750)
Y (0.000, 0.000, 0.000)

space group = No. 216
energy of formation = 0.71 eV/atom
DOS(E_F) = 1.231 states/eV per atom

TaAl2Zn | GGA-PBE | relaxed

Unit cell a=4.201 b=2.889 c=5.430 alpha=90.00 beta=90.00 gamma=90.00
Element x y z (fractional)
Zn (0.500, 0.750, 0.750)
Al (0.000, 0.750, 0.010)
Al (0.000, 0.750, 0.490)
Ta (0.500, 0.250, 0.250)

space group = No. 47
energy of formation = -0.09 eV/atom
DOS(E_F) = 0.396 states/eV per atom

PuMgTlHg | GGA-PBE | relaxed

Unit cell a=5.215 b=5.215 c=5.215 alpha=60.00 beta=60.00 gamma=60.00
Each line ends with the local moment (μB).
Element x y z (fractional)
Mg (0.000, 0.000, 0.000)  -0.01
Tl (0.750, 0.750, 0.750)  -0.01
Hg (0.250, 0.250, 0.250)  0.00
Pu (0.500, 0.500, 0.500)  5.36

space group = No. 216
energy of formation = -0.14 eV/atom
DOS(E_F) = 3.168 states/eV per atom

Cd3Cu2 | GGA-PBE | relaxed

Unit cell a=4.490 b=4.490 c=5.434 alpha=90.00 beta=90.00 gamma=120.00
Element x y z (fractional)
Cd (0.000, 0.000, 0.000)
Cd (0.667, 0.333, 0.640)
Cd (0.333, 0.667, 0.360)
Cu (0.667, 0.333, 0.135)
Cu (0.333, 0.667, 0.865)

space group = No. 164
energy of formation = 0.05 eV/atom
DOS(E_F) = 0.314 states/eV per atom

Ce4ReSn | GGA-PBE | relaxed

Unit cell a=5.969 b=7.722 c=7.722 alpha=112.50 beta=100.37 gamma=100.37
Each line ends with the local moment (μB).
Element x y z (fractional)
Ce (0.842, 0.627, 0.817)  0.19
Ce (0.074, 0.936, 0.307)  0.13
Ce (0.658, 0.183, 0.373)  0.19
Ce (0.426, 0.693, 0.064)  0.13
Ce (0.574, 0.307, 0.936)  0.13
Ce (0.342, 0.817, 0.627)  0.19
Ce (0.926, 0.064, 0.693)  0.13
Ce (0.158, 0.373, 0.183)  0.19
Re (0.250, 0.003, 0.997)  -0.04
Re (0.750, 0.997, 0.003)  -0.04
Sn (0.750, 0.611, 0.389)  -0.01
Sn (0.250, 0.389, 0.611)  -0.01

space group = No. 15
energy of formation = -0.22 eV/atom
DOS(E_F) = 2.189 states/eV per atom

NaSbTe2Rh | GGA-PBE | relaxed

Unit cell a=5.534 b=5.534 c=4.937 alpha=90.00 beta=90.00 gamma=90.00
Element x y z (fractional)
Sb (0.000, 0.000, 0.500)
Te (0.000, 0.500, 0.000)
Te (0.500, 0.000, 0.000)
Rh (0.000, 0.000, 0.000)
Na (0.500, 0.500, 0.500)

space group = No. 123
DOS(E_F) = 0.945 states/eV per atom
raw formation energy = -44 meV/atom

KCa2Os | GGA-PBE | relaxed

Unit cell a=4.451 b=4.451 c=10.232 alpha=85.80 beta=85.80 gamma=44.39
Element x y z (fractional)
Ca (0.973, 0.973, 0.098)
Ca (0.527, 0.527, 0.402)
K (0.750, 0.750, 0.750)
Os (0.250, 0.250, 0.250)

space group = No. 12
energy of formation = 0.58 eV/atom
DOS(E_F) = 1.035 states/eV per atom

InPbBr2 | GGA-PBE | relaxed

Unit cell a=5.535 b=5.535 c=5.535 alpha=60.00 beta=60.00 gamma=60.00
Element x y z (fractional)
Pb (0.500, 0.500, 0.500)
Br (0.250, 0.250, 0.250)
Br (0.750, 0.750, 0.750)
In (0.000, 0.000, 0.000)

space group = No. 225
DOS(E_F) = 0.577 states/eV per atom
raw formation energy = -412 meV/atom

LaBe2GaAu | GGA-PBE | relaxed

Unit cell a=4.523 b=5.656 c=4.523 alpha=90.00 beta=90.00 gamma=90.00
Element x y z (fractional)
Be (0.000, 0.000, 0.500)
Be (0.500, 0.000, 0.000)
Au (0.000, 0.000, 0.000)
Ga (0.500, 0.500, 0.500)
La (0.000, 0.500, 0.000)

space group = No. 123
energy of formation = 0.22 eV/atom
DOS(E_F) = 1.241 states/eV per atom

MoHN | GGA-PBE | relaxed

Unit cell a=4.671 b=3.039 c=3.039 alpha=120.00 beta=90.00 gamma=90.00
Each line ends with the local moment (μB).
Element x y z (fractional)
H (0.553, 0.333, 0.667)  0.00
Mo (0.317, 0.667, 0.333)  -0.54
N (0.130, 0.000, 0.000)  0.03

space group = No. 156
DOS(E_F) = 0.730 states/eV per atom
total energy = -21.9 eV/cell

no.,magnetization (Bohr magnetons per cell)
1,1.99
2,4.01
3,0.00
4,0.00
5,5.46
6,0.00
7,1.46
8,0.00
9,0.03
10,0.00
11,0.05
12,0.55